Here is crystalline InMoW2 at its relaxed geometry from Alexandria. Energies are from GGA-PBE.

Unit cell a=9.822 b=9.822 c=9.822 alpha=16.84 beta=16.84 gamma=16.84
Sites, in units of the cell vectors:
In 0.000 0.000 0.000
Mo 0.500 0.500 0.500
W 0.248 0.248 0.248
W 0.752 0.752 0.752

Results
total magnetic moment = 0.00 μB per cell
E_tot = -37.14 eV per cell
calculated volume = 69.4 Å³/cell
D(E_F) = 1.269 states/eV per atom
symmetry = R-3m, No. 166